Record 1
A plane-wave DFT calculation with GGA-PBEsol was carried out for Ni2P2O7 after structural relaxation.

Unit cell a=6.910 b=8.219 c=8.820 alpha=90.00 beta=112.17 gamma=90.00
Site moments in Bohr magnetons follow the coordinates.
Fractional positions:
Ni (0.872, 0.560, 0.181)  1.60
Ni (0.128, 0.440, 0.819)  1.60
Ni (0.628, 0.060, 0.319)  1.60
Ni (0.372, 0.940, 0.681)  1.60
Ni (0.621, 0.426, 0.390)  1.63
Ni (0.379, 0.574, 0.610)  1.63
Ni (0.879, 0.926, 0.110)  1.63
Ni (0.121, 0.074, 0.890)  1.63
P (0.182, 0.231, 0.242)  0.01
P (0.818, 0.769, 0.758)  0.01
P (0.318, 0.731, 0.258)  0.01
P (0.682, 0.269, 0.742)  0.01
P (0.937, 0.775, 0.466)  0.01
P (0.063, 0.225, 0.534)  0.01
P (0.563, 0.275, 0.034)  0.01
P (0.437, 0.725, 0.966)  0.01
O (0.844, 0.833, 0.595)  0.02
O (0.156, 0.167, 0.405)  0.02
O (0.656, 0.333, 0.905)  0.02
O (0.344, 0.667, 0.095)  0.02
O (0.824, 0.237, 0.447)  0.10
O (0.176, 0.763, 0.553)  0.10
O (0.676, 0.737, 0.053)  0.10
O (0.324, 0.263, 0.947)  0.10
O (0.078, 0.740, 0.204)  0.12
O (0.922, 0.260, 0.796)  0.12
O (0.422, 0.240, 0.296)  0.12
O (0.578, 0.760, 0.704)  0.12
O (0.842, 0.610, 0.395)  0.11
O (0.158, 0.390, 0.605)  0.11
O (0.658, 0.110, 0.105)  0.11
O (0.342, 0.890, 0.895)  0.11
O (0.096, 0.092, 0.117)  0.10
O (0.904, 0.908, 0.883)  0.10
O (0.404, 0.592, 0.383)  0.10
O (0.596, 0.408, 0.617)  0.10
O (0.867, 0.915, 0.341)  0.10
O (0.133, 0.085, 0.659)  0.10
O (0.633, 0.415, 0.159)  0.10
O (0.367, 0.585, 0.841)  0.10
O (0.072, 0.391, 0.190)  0.06
O (0.928, 0.609, 0.810)  0.06
O (0.428, 0.891, 0.310)  0.06
O (0.572, 0.109, 0.690)  0.06

Calculated values
For the uncorrected formation energy, the calculation gives -1.61 eV per atom. As for the space group: P2_1/c, No. 14.

=====

Record 2
A plane-wave DFT calculation with GGA-PBEsol was carried out for NiP2O2 after structural relaxation.

Unit cell a=3.450 b=4.320 c=4.320 alpha=90.00 beta=90.00 gamma=90.00
Fractional positions:
Ni (0.000, 0.000, 0.000)
O (0.500, 0.500, 0.500)
O (0.500, 0.000, 0.000)
P (0.000, 0.000, 0.500)
P (0.000, 0.500, 0.000)

Calculated values
For the uncorrected formation energy, the calculation gives 0.58 eV per atom. As for the space group: P4/mmm, No. 123.

=====

Record 3
A plane-wave DFT calculation with GGA-PBEsol was carried out for Ni4P2O9 after structural relaxation.

Unit cell a=6.095 b=7.671 c=7.949 alpha=96.86 beta=112.93 gamma=102.73
Site moments in Bohr magnetons follow the coordinates.
Fractional positions:
Ni (0.067, 0.909, 0.767)  0.23
Ni (0.588, 0.891, 0.740)  1.43
Ni (0.630, 0.684, 0.445)  0.08
Ni (0.837, 0.603, 0.899)  1.54
Ni (0.163, 0.397, 0.101)  1.54
Ni (0.370, 0.316, 0.555)  0.08
Ni (0.412, 0.109, 0.260)  1.43
Ni (0.933, 0.091, 0.233)  0.23
P (0.464, 0.772, 0.064)  0.01
P (0.094, 0.728, 0.350)  0.01
P (0.906, 0.272, 0.650)  0.01
P (0.536, 0.228, 0.936)  0.01
O (0.131, 0.929, 0.321)  0.04
O (0.617, 0.960, 0.210)  0.03
O (0.196, 0.783, 0.956)  0.05
O (0.358, 0.720, 0.483)  0.07
O (0.996, 0.583, 0.164)  0.10
O (0.591, 0.743, 0.934)  0.09
O (0.461, 0.621, 0.179)  0.06
O (0.935, 0.684, 0.455)  0.02
O (0.776, 0.737, 0.698)  0.14
O (0.224, 0.263, 0.302)  0.14
O (0.065, 0.316, 0.545)  0.02
O (0.539, 0.379, 0.821)  0.06
O (0.409, 0.257, 0.066)  0.09
O (0.004, 0.417, 0.836)  0.10
O (0.642, 0.280, 0.517)  0.07
O (0.804, 0.217, 0.044)  0.05
O (0.383, 0.040, 0.790)  0.03
O (0.869, 0.071, 0.679)  0.04

Calculated values
For the uncorrected formation energy, the calculation gives -1.32 eV per atom. As for the space group: P-1, No. 2.

=====

Record 4
A plane-wave DFT calculation with GGA-PBEsol was carried out for Ni5P4O16 after structural relaxation.

Unit cell a=4.921 b=7.758 c=7.909 alpha=111.07 beta=91.98 gamma=100.00
Site moments in Bohr magnetons follow the coordinates.
Fractional positions:
Ni (0.645, 0.407, 0.678)  1.48
Ni (0.355, 0.593, 0.322)  1.48
Ni (0.099, 0.238, 0.763)  1.02
Ni (0.901, 0.762, 0.237)  1.02
Ni (0.000, 0.000, 0.000)  1.34
P (0.380, 0.704, 0.970)  0.02
P (0.620, 0.296, 0.030)  0.02
P (0.151, 0.209, 0.428)  0.02
P (0.849, 0.791, 0.572)  0.02
O (0.912, 0.975, 0.741)  0.12
O (0.088, 0.025, 0.259)  0.12
O (0.224, 0.674, 0.129)  0.09
O (0.776, 0.326, 0.871)  0.09
O (0.095, 0.757, 0.449)  0.05
O (0.905, 0.243, 0.551)  0.05
O (0.647, 0.820, 0.427)  0.10
O (0.353, 0.180, 0.573)  0.10
O (0.265, 0.375, 0.379)  0.06
O (0.735, 0.625, 0.621)  0.06
O (0.302, 0.218, 0.967)  0.07
O (0.698, 0.782, 0.033)  0.07
O (0.348, 0.504, 0.818)  0.12
O (0.652, 0.496, 0.182)  0.12
O (0.250, 0.832, 0.901)  0.03
O (0.750, 0.168, 0.099)  0.03

Calculated values
For the uncorrected formation energy, the calculation gives -1.48 eV per atom. As for the space group: P-1, No. 2.